Computed, not measured: a PBEsol-optimized structure of Sm2TlHg at the meta-GGA SCAN level of DFT.

a b c (Å): 5.3160 5.3160 5.3160
angles (deg): 60.00 60.00 60.00
Closest atoms and distances in Å follow each position.
Sites, in units of the cell vectors:
Sm 0.2500 0.2500 0.2500  4 Hg 3.26, 4 Tl 3.26
Sm 0.7500 0.7500 0.7500  4 Hg 3.26, 4 Tl 3.26
Tl 0.0000 0.0000 0.0000  8 Sm 3.26
Hg 0.5000 0.5000 0.5000  8 Sm 3.26

formation energy from the elements: -0.652 eV per atom
calculated volume: 26.6 Å³ per atom
DOS at the Fermi energy: 2.62 states/eV/cell
M_tot: 0.85 μB/cell